No. 1
The following is a PBE-GGA calculation of crystalline TmHPd2 at its relaxed geometry, from Alexandria via LeMat-Bulk.

Unit cell a=3.0916 b=3.0916 c=22.4769 alpha=90.00 beta=90.00 gamma=120.00
Closest atoms and distances in Å follow each position.
Space group R-3m (No. 166, hexagonal axes)
One atom of each set of equivalent atoms:
Tm (0.0000, 0.0000, 0.0000) (multiplicity 3)  2 Pd 2.63
H (0.0000, 0.0000, 0.5000) (multiplicity 3)  6 Pd 2.11
Pd (0.0000, 0.0000, 0.1170) (multiplicity 6)  3 H 2.11

Properties
energy: -4.54 eV per atom
calculated volume: 15.50 Å³ per atom

***

No. 2
The following is a PBE-GGA calculation of crystalline SrTcW2 at its relaxed geometry, from Alexandria via LeMat-Bulk.

Unit cell a=5.0212 b=5.0212 c=17.2781 alpha=90.00 beta=90.00 gamma=90.00
Closest atoms and distances in Å follow each position.
Space group I-42d (No. 122)
One atom of each set of equivalent atoms:
Sr (0.0000, 0.0000, 0.0000) (multiplicity 4)  8 W 3.50-3.58, 4 Tc 3.55
Tc (0.0000, 0.0000, 0.5000) (multiplicity 4)  4 W 2.50
W (0.0112, 0.2500, 0.6250) (multiplicity 8)  2 Tc 2.50, 2 W 2.51

Properties
calculated formation energy: 1.397 eV/atom
calculated volume: 27.23 Å³ per atom

***

No. 3
The following is a PBE-GGA calculation of crystalline NaBe2B at its relaxed geometry, from Alexandria via LeMat-Bulk.

Unit cell a=3.5996 b=4.9822 c=6.0719 alpha=97.93 beta=94.19 gamma=107.73
Closest atoms and distances in Å follow each position.
Space group P1 (No. 1)
One atom of each set of equivalent atoms:
Na (0.0000, 0.0000, 0.0000) (multiplicity 1)  1 Be 2.61, 1 Na 2.77, 1 B 2.91
Na (0.2825, 0.5738, 0.1859) (multiplicity 1)  2 Na 2.77-2.94, 3 Be 2.79-2.91, 2 B 2.84-2.92
Be (0.2360, 0.5730, 0.6471) (multiplicity 1)  2 B 1.85-1.93
Be (0.6332, 0.3512, 0.7691) (multiplicity 1)  2 B 1.99-2.03, 2 Be 2.17-2.20
Be (0.7111, 0.2129, 0.4256) (multiplicity 1)  3 B 1.85-1.96
Be (0.8244, 0.8214, 0.5685) (multiplicity 1)  3 B 1.89-2.01
B (0.2021, 0.1905, 0.5153) (multiplicity 1)  1 B 1.66, 1 Be 1.85
B (0.3836, 0.9482, 0.5986) (multiplicity 1)  1 B 1.66, 1 Be 1.85

Properties
calculated formation energy: 0.283 eV/atom
calculated volume: 12.75 Å³ per atom

***

No. 4
The following is a PBE-GGA calculation of crystalline Na3BBr at its relaxed geometry, from Alexandria via LeMat-Bulk.

Unit cell a=5.1894 b=5.1894 c=5.1894 alpha=90.00 beta=90.00 gamma=90.00
Closest atoms and distances in Å follow each position.
Space group Pm-3m (No. 221)
One atom of each set of equivalent atoms:
Na (0.0000, 0.0000, 0.5000) (multiplicity 3)  2 B 2.59
B (0.0000, 0.0000, 0.0000) (multiplicity 1)  6 Na 2.59
Br (0.5000, 0.5000, 0.5000) (multiplicity 1)  12 Na 3.67

Properties
formation energy without anion corrections: 1.01 eV per formula unit
calculated volume: 27.95 Å³ per atom

***

No. 5
The following is a PBE-GGA calculation of crystalline CuSiHgTe2 at its relaxed geometry, from Alexandria via LeMat-Bulk.

Unit cell a=5.7876 b=5.7876 c=4.7999 alpha=90.00 beta=90.00 gamma=90.00
Closest atoms and distances in Å follow each position.
Space group P4/mmm (No. 123)
One atom of each set of equivalent atoms:
Cu (0.0000, 0.0000, 0.0000) (multiplicity 1)  8 Te 3.76, 4 Si 4.09
Si (0.5000, 0.5000, 0.0000) (multiplicity 1)  2 Hg 2.40
Hg (0.5000, 0.5000, 0.5000) (multiplicity 1)  2 Si 2.40
Te (0.0000, 0.5000, 0.5000) (multiplicity 2)  2 Hg 2.89

Properties
formation energy without anion corrections: 5.59 eV per formula unit
calculated volume: 32.16 Å³ per atom

***

No. 6
The following is a PBE-GGA calculation of crystalline LaHgRhPb2 at its relaxed geometry, from Alexandria via LeMat-Bulk.

Unit cell a=5.3343 b=5.3343 c=5.2938 alpha=90.00 beta=90.00 gamma=90.00
Closest atoms and distances in Å follow each position.
Space group P4/mmm (No. 123)
One atom of each set of equivalent atoms:
La (0.0000, 0.0000, 0.0000) (multiplicity 1)  2 Rh 2.65
Hg (0.5000, 0.5000, 0.0000) (multiplicity 1)  8 Pb 3.76, 4 La 3.77
Rh (0.0000, 0.0000, 0.5000) (multiplicity 1)  2 La 2.65, 4 Pb 2.67
Pb (0.0000, 0.5000, 0.5000) (multiplicity 2)  2 Rh 2.67

Properties
calculated formation energy: -0.287 eV/atom
calculated volume: 30.13 Å³ per atom

***

No. 7
The following is a PBE-GGA calculation of crystalline Np2Al12Cu at its relaxed geometry, from Alexandria via LeMat-Bulk.

Unit cell a=5.9162 b=5.9162 c=16.1062 alpha=90.00 beta=90.00 gamma=90.00
Closest atoms and distances in Å follow each position.
Space group P4/nbm (No. 125, origin choice 2)
One atom of each set of equivalent atoms:
Np (0.2500, 0.7500, 0.2493) (multiplicity 4)  14 Al 3.14-3.36
Al (0.0002, 0.9998, 0.0862) (multiplicity 8)  2 Cu 2.51, 3 Al 2.62-2.78
Al (0.0797, 0.5797, 0.4292) (multiplicity 8)  4 Al 2.64-2.85
Al (0.2500, 0.2500, 0.1845) (multiplicity 4)  5 Al 2.46-2.62
Al (0.2500, 0.2500, 0.3374) (multiplicity 4)  5 Al 2.46-2.65
Cu (0.2500, 0.7500, 0.0000) (multiplicity 2)  8 Al 2.51

Properties
calculated formation energy: -0.029 eV/atom
calculated volume: 18.79 Å³ per atom

***

No. 8
The following is a PBE-GGA calculation of crystalline Sc2AlHg2 at its relaxed geometry, from Alexandria via LeMat-Bulk.

Unit cell a=7.7786 b=7.7786 c=3.7563 alpha=90.00 beta=90.00 gamma=90.00
Closest atoms and distances in Å follow each position.
Space group P4/mbm (No. 127)
One atom of each set of equivalent atoms:
Sc (0.1565, 0.3435, 0.0000) (multiplicity 4)  6 Hg 2.88-3.00, 2 Al 2.94
Al (0.0000, 0.0000, 0.0000) (multiplicity 2)  4 Sc 2.94
Hg (0.1448, 0.6448, 0.5000) (multiplicity 4)  6 Sc 2.88-3.00, 1 Hg 3.19

Properties
calculated formation energy: -0.136 eV/atom
calculated volume: 22.73 Å³ per atom

***

No. 9
The following is a PBE-GGA calculation of crystalline Nb5VFe2Se20 at its relaxed geometry, from Alexandria via LeMat-Bulk.

Unit cell a=6.9465 b=10.6045 c=10.7493 alpha=103.73 beta=108.20 gamma=109.06
Closest atoms and distances in Å follow each position.
Space group P1 (No. 1)
One atom of each set of equivalent atoms:
Nb (0.0000, 0.0000, 0.0000) (multiplicity 1)  8 Se 2.64-2.75
Nb (0.0809, 0.4206, 0.2558) (multiplicity 1)  8 Se 2.65-2.77
Nb (0.3558, 0.2597, 0.5422) (multiplicity 1)  5 Se 2.45-2.74
Nb (0.5010, 0.0043, 0.9990) (multiplicity 1)  8 Se 2.64-2.80
Nb (0.5850, 0.4166, 0.2579) (multiplicity 1)  8 Se 2.64-2.80
V (0.7336, 0.1614, 0.7227) (multiplicity 1)  5 Se 2.38-2.64
Fe (0.1794, 0.1599, 0.7333) (multiplicity 1)  6 Se 2.40-2.51
Fe (0.9071, 0.2590, 0.5274) (multiplicity 1)  6 Se 2.39-2.53
Se (0.0785, 0.3580, 0.7798) (multiplicity 1)  1 V 2.38, 2 Fe 2.39-2.42
Se (0.0887, 0.7873, 0.8825) (multiplicity 1)  1 Se 2.38
Se (0.2241, 0.4569, 0.5364) (multiplicity 1)  1 Fe 2.45, 1 Nb 2.55
Se (0.2336, 0.2208, 0.2618) (multiplicity 1)  4 Nb 2.66-2.75
Se (0.2634, 0.8930, 0.1336) (multiplicity 1)  1 Se 2.38
Se (0.3305, 0.5332, 0.1297) (multiplicity 1)  1 Se 2.36
Se (0.3383, 0.1965, 0.9883) (multiplicity 1)  1 Fe 2.49, 2 Nb 2.64
Se (0.3570, 0.9887, 0.7253) (multiplicity 1)  1 Fe 2.51, 1 V 2.67, 1 Nb 2.74
Se (0.4997, 0.6302, 0.3797) (multiplicity 1)  1 Se 2.36
Se (0.5313, 0.0797, 0.4711) (multiplicity 1)  1 V 2.40, 1 Fe 2.45, 1 Nb 2.67
Se (0.5630, 0.3398, 0.7989) (multiplicity 1)  1 Nb 2.45, 1 Fe 2.47, 1 V 2.64
Se (0.5830, 0.7893, 0.8776) (multiplicity 1)  1 Se 2.36
Se (0.7374, 0.4356, 0.5337) (multiplicity 1)  1 Fe 2.52, 2 Nb 2.74-2.75
Se (0.7449, 0.2232, 0.2692) (multiplicity 1)  1 Fe 2.53, 3 Nb 2.64-2.80
Se (0.7541, 0.8877, 0.1276) (multiplicity 1)  1 Se 2.36
Se (0.8195, 0.5274, 0.1217) (multiplicity 1)  1 Se 2.38
Se (0.8485, 0.1994, 0.9913) (multiplicity 1)  1 V 2.63, 3 Nb 2.66-2.77
Se (0.8542, 0.9678, 0.7206) (multiplicity 1)  1 Fe 2.44, 1 V 2.46
Se (0.9929, 0.0539, 0.4796) (multiplicity 1)  2 Fe 2.40-2.42, 1 Nb 2.49
Se (0.9952, 0.6357, 0.3726) (multiplicity 1)  1 Se 2.38

Properties
formation energy without anion corrections: -16.78 eV per formula unit
calculated volume: 23.51 Å³ per atom

***

No. 10
The following is a PBE-GGA calculation of crystalline Ce5Te4Ir at its relaxed geometry, from Alexandria via LeMat-Bulk.

Unit cell a=4.4234 b=4.4234 c=31.1391 alpha=90.00 beta=90.00 gamma=90.00
Closest atoms and distances in Å follow each position.
Space group I4/mmm (No. 139)
One atom of each set of equivalent atoms:
Ce (0.0000, 0.0000, 0.0000) (multiplicity 2)  4 Ir 3.13, 2 Te 3.18
Ce (0.0000, 0.0000, 0.2051) (multiplicity 4)  6 Te 3.15-3.20
Ce (0.0000, 0.0000, 0.4146) (multiplicity 4)  1 Ir 2.66
Te (0.0000, 0.0000, 0.1022) (multiplicity 4)  6 Ce 3.17-3.20
Te (0.0000, 0.0000, 0.3074) (multiplicity 4)  6 Ce 3.15-3.34
Ir (0.0000, 0.0000, 0.5000) (multiplicity 2)  2 Ce 2.66

Properties
formation energy without anion corrections: -11.88 eV per formula unit
calculated volume: 30.46 Å³ per atom

***

No. 11
The following is a PBE-GGA calculation of crystalline Dy2YTh at its relaxed geometry, from Alexandria via LeMat-Bulk.

Unit cell a=3.5650 b=3.5650 c=10.0782 alpha=90.00 beta=90.00 gamma=90.00
Closest atoms and distances in Å follow each position.
Space group P4/mmm (No. 123)
One atom of each set of equivalent atoms:
Dy (0.0000, 0.0000, 0.2429) (multiplicity 2)  4 Th 3.51, 4 Dy 3.56, 4 Y 3.61
Y (0.5000, 0.5000, 0.5000) (multiplicity 1)  4 Y 3.56, 8 Dy 3.61
Th (0.5000, 0.5000, 0.0000) (multiplicity 1)  8 Dy 3.51, 4 Th 3.56

Properties
calculated formation energy: 0.025 eV/atom
calculated volume: 32.02 Å³ per atom

***

Density of states at the Fermi level for every record listed, in sequence, given in states/eV/f.u.: 2.48, 4.18, 0.62, 0.04, 3.62, 2.72, 22.21, 3.42, 6.18, 35.09, 5.21.